Compound: HfZrSc
Source: Alexandria
Functional: GGA-PBE
Structure: relaxed

a b c (Å): 3.176 4.999 4.999
angles (deg): 120.00 90.00 90.00
Fractional positions:
Hf 0.167 0.333 0.667
Zr 0.667 0.667 0.333
Sc 0.166 0.000 0.000

Results
The total magnetization comes out at 0.00 μB per formula unit. The density of states at the Fermi level is 4.61 states/eV/f.u. The value obtained for the energy of formation is 0.06 eV per atom. As for the uncorrected energy: -8.220 eV per atom. The calculation puts the energy above the most stable polymorph in this dataset at 0.003 eV per atom.